Computed, not measured: a relaxed CrMoW crystal at the PBE level of DFT.

```
data_CrMoW
_symmetry_space_group_name_H-M 'C 1 m 1'
_symmetry_Int_Tables_number 8
_cell_length_a 9.7435
_cell_length_b 3.0929
_cell_length_c 6.1770
_cell_angle_alpha 90.00
_cell_angle_beta 108.87
_cell_angle_gamma 90.00
loop_
_symmetry_equiv_pos_as_xyz
'x,y,z'
'x,-y,z'
'x+1/2,y+1/2,z'
'x+1/2,-y+1/2,z'
loop_
_atom_site_label
_atom_site_type_symbol
_atom_site_fract_x
_atom_site_fract_y
_atom_site_fract_z
_atom_site_occupancy
Cr1 Cr 0.0000 0.0000 0.0000 1
Cr2 Cr 0.1656 0.5000 0.8372 1
Mo1 Mo 0.1642 0.5000 0.3268 1
Mo2 Mo 0.3308 0.0000 0.1588 1
W1 W 0.0034 0.0000 0.5089 1
W2 W 0.3348 0.0000 0.6798 1
```

ΔE to the lowest computed polymorph   21 meV/atom

Computed, not measured: a relaxed CrMo2W crystal at the PBE level of DFT.

```
data_CrMo2W
_symmetry_space_group_name_H-M 'I 4/m m m'
_symmetry_Int_Tables_number 139
_symmetry_space_group_name_Hall '-I 4 2'
_cell_length_a 3.6770
_cell_length_b 3.6770
_cell_length_c 9.0550
_cell_angle_alpha 90.00
_cell_angle_beta 90.00
_cell_angle_gamma 90.00
loop_
_atom_site_label
_atom_site_type_symbol
_atom_site_fract_x
_atom_site_fract_y
_atom_site_fract_z
_atom_site_occupancy
Cr1 Cr 0.0000 0.0000 0.0000 1
Mo1 Mo 0.0000 0.5000 0.2500 1
W1 W 0.0000 0.0000 0.5000 1
```

ΔE to the lowest computed polymorph   315 meV/atom

Computed, not measured: a relaxed CrMoW2 crystal at the PBE level of DFT.

```
data_CrMoW2
_symmetry_space_group_name_H-M 'R 3 m'
_symmetry_Int_Tables_number 160
_symmetry_space_group_name_Hall 'R 3 -2"'
_cell_length_a 2.9410
_cell_length_b 2.9410
_cell_length_c 24.6848
_cell_angle_alpha 90.00
_cell_angle_beta 90.00
_cell_angle_gamma 120.00
loop_
_atom_site_label
_atom_site_type_symbol
_atom_site_fract_x
_atom_site_fract_y
_atom_site_fract_z
_atom_site_occupancy
Cr1 Cr 0.0000 0.0000 0.0000 1
Mo1 Mo 0.0000 0.0000 0.7454 1
W1 W 0.0000 0.0000 0.2546 1
W2 W 0.0000 0.0000 0.4994 1
```

ΔE to the lowest computed polymorph   390 meV/atom

Computed, not measured: a relaxed CrMo3W crystal at the PBE level of DFT.

```
data_CrMo3W
_symmetry_space_group_name_H-M 'P m -3 m'
_symmetry_Int_Tables_number 221
_symmetry_space_group_name_Hall '-P 4 2 3'
_cell_length_a 4.4204
_cell_length_b 4.4204
_cell_length_c 4.4204
_cell_angle_alpha 90.00
_cell_angle_beta 90.00
_cell_angle_gamma 90.00
loop_
_atom_site_label
_atom_site_type_symbol
_atom_site_fract_x
_atom_site_fract_y
_atom_site_fract_z
_atom_site_occupancy
Cr1 Cr 0.0000 0.0000 0.0000 1
Mo1 Mo 0.0000 0.0000 0.5000 1
W1 W 0.5000 0.5000 0.5000 1
```

ΔE to the lowest computed polymorph   1033 meV/atom

Computed, not measured: a relaxed Cr2MoW3 crystal at the PBE level of DFT.

```
data_Cr2MoW3
_symmetry_space_group_name_H-M 'P 4/m m m'
_symmetry_Int_Tables_number 123
_symmetry_space_group_name_Hall '-P 4 2'
_cell_length_a 3.0854
_cell_length_b 3.0854
_cell_length_c 9.2280
_cell_angle_alpha 90.00
_cell_angle_beta 90.00
_cell_angle_gamma 90.00
loop_
_atom_site_label
_atom_site_type_symbol
_atom_site_fract_x
_atom_site_fract_y
_atom_site_fract_z
_atom_site_occupancy
Cr1 Cr 0.0000 0.0000 0.1624 1
Mo1 Mo 0.0000 0.0000 0.5000 1
W1 W 0.5000 0.5000 0.0000 1
W2 W 0.5000 0.5000 0.3245 1
```

Electronic total energy   -11.4532 eV per atom

Computed, not measured: a relaxed Cr2Mo2W crystal at the PBE level of DFT.

```
data_Cr2Mo2W
_symmetry_space_group_name_H-M 'C m m m'
_symmetry_Int_Tables_number 65
_symmetry_space_group_name_Hall '-C 2 2'
_cell_length_a 2.9705
_cell_length_b 16.7202
_cell_length_c 2.9739
_cell_angle_alpha 90.00
_cell_angle_beta 90.00
_cell_angle_gamma 90.00
loop_
_atom_site_label
_atom_site_type_symbol
_atom_site_fract_x
_atom_site_fract_y
_atom_site_fract_z
_atom_site_occupancy
Cr1 Cr 0.0000 0.0914 0.0000 1
Mo1 Mo 0.0000 0.3165 0.5000 1
W1 W 0.0000 0.5000 0.5000 1
```

Electronic total energy   -10.4323 eV per atom

Computed, not measured: a relaxed CrMo2W crystal at the PBE level of DFT.

```
data_CrMo2W
_symmetry_space_group_name_H-M 'P m m m'
_symmetry_Int_Tables_number 47
_cell_length_a 2.6170
_cell_length_b 4.5376
_cell_length_c 5.1725
_cell_angle_alpha 90.00
_cell_angle_beta 90.00
_cell_angle_gamma 90.00
loop_
_symmetry_equiv_pos_as_xyz
'x,y,z'
'-x,-y,-z'
'-x,-y,z'
'x,y,-z'
'x,-y,-z'
'-x,y,z'
'-x,y,-z'
'x,-y,z'
loop_
_atom_site_label
_atom_site_type_symbol
_atom_site_fract_x
_atom_site_fract_y
_atom_site_fract_z
_atom_site_occupancy
Cr1 Cr 0.0000 0.0000 0.0000 1
Mo1 Mo 0.5000 0.5000 0.2449 1
W1 W 0.0000 0.0000 0.5000 1
```

ΔE to the lowest computed polymorph   342 meV/atom

Computed, not measured: a relaxed CrMoW2 crystal at the PBE level of DFT.

```
data_CrMoW2
_symmetry_space_group_name_H-M 'P m m m'
_symmetry_Int_Tables_number 47
_cell_length_a 3.1271
_cell_length_b 4.3813
_cell_length_c 4.4073
_cell_angle_alpha 90.00
_cell_angle_beta 90.00
_cell_angle_gamma 90.00
loop_
_symmetry_equiv_pos_as_xyz
'x,y,z'
'-x,-y,-z'
'-x,-y,z'
'x,y,-z'
'x,-y,-z'
'-x,y,z'
'-x,y,-z'
'x,-y,z'
loop_
_atom_site_label
_atom_site_type_symbol
_atom_site_fract_x
_atom_site_fract_y
_atom_site_fract_z
_atom_site_occupancy
Cr1 Cr 0.0000 0.0000 0.0000 1
Mo1 Mo 0.5000 0.0000 0.5000 1
W1 W 0.0000 0.5000 0.5000 1
W2 W 0.5000 0.5000 0.0000 1
```

ΔE to the lowest computed polymorph   29 meV/atom

Computed, not measured: a relaxed Cr5MoW4 crystal at the PBE level of DFT.

```
data_Cr5MoW4
_symmetry_space_group_name_H-M 'P 4/m m m'
_symmetry_Int_Tables_number 123
_symmetry_space_group_name_Hall '-P 4 2'
_cell_length_a 3.0279
_cell_length_b 3.0279
_cell_length_c 15.1394
_cell_angle_alpha 90.00
_cell_angle_beta 90.00
_cell_angle_gamma 90.00
loop_
_atom_site_label
_atom_site_type_symbol
_atom_site_fract_x
_atom_site_fract_y
_atom_site_fract_z
_atom_site_occupancy
Cr1 Cr 0.0000 0.0000 0.0000 1
Cr2 Cr 0.0000 0.0000 0.2000 1
Cr3 Cr 0.0000 0.0000 0.4004 1
Mo1 Mo 0.5000 0.5000 0.5000 1
W1 W 0.5000 0.5000 0.1000 1
W2 W 0.5000 0.5000 0.3002 1
```

Electronic total energy   -11.0479 eV per atom

Computed, not measured: a relaxed CrMo5W2 crystal at the PBE level of DFT.

```
data_CrMo5W2
_symmetry_space_group_name_H-M 'P 1 2/m 1'
_symmetry_Int_Tables_number 10
_cell_length_a 5.4256
_cell_length_b 4.4338
_cell_length_c 10.4539
_cell_angle_alpha 90.00
_cell_angle_beta 99.73
_cell_angle_gamma 90.00
loop_
_symmetry_equiv_pos_as_xyz
'x,y,z'
'-x,-y,-z'
'-x,y,-z'
'x,-y,z'
loop_
_atom_site_label
_atom_site_type_symbol
_atom_site_fract_x
_atom_site_fract_y
_atom_site_fract_z
_atom_site_occupancy
Cr1 Cr 0.0000 0.0000 0.0000 1
Cr2 Cr 0.0000 0.0000 0.5000 1
Mo1 Mo 0.1237 0.5000 0.3767 1
Mo2 Mo 0.2476 0.0000 0.2492 1
Mo3 Mo 0.2475 0.0000 0.7494 1
Mo4 Mo 0.3731 0.5000 0.1242 1
Mo5 Mo 0.5000 0.0000 0.0000 1
Mo6 Mo 0.5000 0.0000 0.5000 1
W1 W 0.1231 0.5000 0.8772 1
W2 W 0.3726 0.5000 0.6242 1
```

Electronic total energy   -11.1878 eV per atom

Computed, not measured: a relaxed Cr4MoW3 crystal at the PBE level of DFT.

```
data_Cr4MoW3
_symmetry_space_group_name_H-M 'P 4/m m m'
_symmetry_Int_Tables_number 123
_symmetry_space_group_name_Hall '-P 4 2'
_cell_length_a 3.0276
_cell_length_b 3.0276
_cell_length_c 12.1107
_cell_angle_alpha 90.00
_cell_angle_beta 90.00
_cell_angle_gamma 90.00
loop_
_atom_site_label
_atom_site_type_symbol
_atom_site_fract_x
_atom_site_fract_y
_atom_site_fract_z
_atom_site_occupancy
Cr1 Cr 0.0000 0.0000 0.1244 1
Cr2 Cr 0.0000 0.0000 0.3749 1
Mo1 Mo 0.5000 0.5000 0.0000 1
W1 W 0.5000 0.5000 0.2497 1
W2 W 0.5000 0.5000 0.5000 1
```

Electronic total energy   -10.9946 eV per atom

Computed, not measured: a relaxed YCrMo crystal at the PBE level of DFT.

```
data_YCrMo
_symmetry_space_group_name_H-M 'P -6 m 2'
_symmetry_Int_Tables_number 187
_symmetry_space_group_name_Hall 'P -6 2'
_cell_length_a 4.2320
_cell_length_b 4.2320
_cell_length_c 3.9925
_cell_angle_alpha 90.00
_cell_angle_beta 90.00
_cell_angle_gamma 120.00
loop_
_atom_site_label
_atom_site_type_symbol
_atom_site_fract_x
_atom_site_fract_y
_atom_site_fract_z
_atom_site_occupancy
Y1 Y 0.0000 0.0000 0.0000 1
Cr1 Cr 0.6667 0.3333 0.5000 1
Mo1 Mo 0.3333 0.6667 0.5000 1
```

ΔE to the lowest computed polymorph   176 meV/atom

Computed, not measured: a relaxed Y2CrMo crystal at the PBE level of DFT.

```
data_Y2CrMo
_symmetry_space_group_name_H-M 'R -3 m'
_symmetry_Int_Tables_number 166
_symmetry_space_group_name_Hall '-R 3 2"'
_cell_length_a 3.3167
_cell_length_b 3.3167
_cell_length_c 28.6074
_cell_angle_alpha 90.00
_cell_angle_beta 90.00
_cell_angle_gamma 120.00
loop_
_atom_site_label
_atom_site_type_symbol
_atom_site_fract_x
_atom_site_fract_y
_atom_site_fract_z
_atom_site_occupancy
Y1 Y 0.0000 0.0000 0.2474 1
Cr1 Cr 0.0000 0.0000 0.0000 1
Mo1 Mo 0.0000 0.0000 0.5000 1
```

ΔE to the lowest computed polymorph   474 meV/atom

Computed, not measured: a relaxed YCrMo2 crystal at the PBE level of DFT.

```
data_YCrMo2
_symmetry_space_group_name_H-M 'I m m 2'
_symmetry_Int_Tables_number 44
_cell_length_a 3.2139
_cell_length_b 4.8393
_cell_length_c 8.9737
_cell_angle_alpha 90.00
_cell_angle_beta 90.00
_cell_angle_gamma 90.00
loop_
_symmetry_equiv_pos_as_xyz
'x,y,z'
'-x,-y,z'
'-x,y,z'
'x,-y,z'
'x+1/2,y+1/2,z+1/2'
'-x+1/2,-y+1/2,z+1/2'
'-x+1/2,y+1/2,z+1/2'
'x+1/2,-y+1/2,z+1/2'
loop_
_atom_site_label
_atom_site_type_symbol
_atom_site_fract_x
_atom_site_fract_y
_atom_site_fract_z
_atom_site_occupancy
Y1 Y 0.0000 0.0000 0.0000 1
Cr1 Cr 0.0000 0.5000 0.7693 1
Mo1 Mo 0.0000 0.0000 0.4833 1
Mo2 Mo 0.0000 0.5000 0.2279 1
```

ΔE to the lowest computed polymorph   172 meV/atom

Computed, not measured: a relaxed YCrMo2 crystal at the PBE level of DFT.

```
data_YCrMo2
_symmetry_space_group_name_H-M 'R -3 m'
_symmetry_Int_Tables_number 166
_symmetry_space_group_name_Hall '-R 3 2"'
_cell_length_a 3.0703
_cell_length_b 3.0703
_cell_length_c 26.2307
_cell_angle_alpha 90.00
_cell_angle_beta 90.00
_cell_angle_gamma 120.00
loop_
_atom_site_label
_atom_site_type_symbol
_atom_site_fract_x
_atom_site_fract_y
_atom_site_fract_z
_atom_site_occupancy
Y1 Y 0.0000 0.0000 0.0000 1
Cr1 Cr 0.0000 0.0000 0.5000 1
Mo1 Mo 0.0000 0.0000 0.2346 1
```

ΔE to the lowest computed polymorph   269 meV/atom

Computed, not measured: a relaxed Y2CrMo crystal at the PBE level of DFT.

```
data_Y2CrMo
_symmetry_space_group_name_H-M 'R 3 m'
_symmetry_Int_Tables_number 160
_symmetry_space_group_name_Hall 'R 3 -2"'
_cell_length_a 3.3008
_cell_length_b 3.3008
_cell_length_c 28.4522
_cell_angle_alpha 90.00
_cell_angle_beta 90.00
_cell_angle_gamma 120.00
loop_
_atom_site_label
_atom_site_type_symbol
_atom_site_fract_x
_atom_site_fract_y
_atom_site_fract_z
_atom_site_occupancy
Y1 Y 0.0000 0.0000 0.0000 1
Y2 Y 0.0000 0.0000 0.2182 1
Cr1 Cr 0.0000 0.0000 0.4714 1
Mo1 Mo 0.0000 0.0000 0.7524 1
```

ΔE to the lowest computed polymorph   244 meV/atom

Computed, not measured: a relaxed YCrMo2 crystal at the PBE level of DFT.

```
data_YCrMo2
_symmetry_space_group_name_H-M 'P 1 m 1'
_symmetry_Int_Tables_number 6
_cell_length_a 3.0209
_cell_length_b 4.1618
_cell_length_c 6.0533
_cell_angle_alpha 90.00
_cell_angle_beta 103.46
_cell_angle_gamma 90.00
loop_
_symmetry_equiv_pos_as_xyz
'x,y,z'
'x,-y,z'
loop_
_atom_site_label
_atom_site_type_symbol
_atom_site_fract_x
_atom_site_fract_y
_atom_site_fract_z
_atom_site_occupancy
Y1 Y 0.0000 0.0000 0.0000 1
Cr1 Cr 0.7548 0.5000 0.3137 1
Mo1 Mo 0.2711 0.5000 0.6734 1
Mo2 Mo 0.5241 0.0000 0.4839 1
```

ΔE to the lowest computed polymorph   104 meV/atom

Computed, not measured: a relaxed YCrMo2 crystal at the PBE level of DFT.

```
data_YCrMo2
_symmetry_space_group_name_H-M 'C m m m'
_symmetry_Int_Tables_number 65
_symmetry_space_group_name_Hall '-C 2 2'
_cell_length_a 5.3066
_cell_length_b 9.6643
_cell_length_c 2.7168
_cell_angle_alpha 90.00
_cell_angle_beta 90.00
_cell_angle_gamma 90.00
loop_
_atom_site_label
_atom_site_type_symbol
_atom_site_fract_x
_atom_site_fract_y
_atom_site_fract_z
_atom_site_occupancy
Y1 Y 0.0000 0.0000 0.0000 1
Cr1 Cr 0.0000 0.5000 0.0000 1
Mo1 Mo 0.2500 0.2500 0.5000 1
```

ΔE to the lowest computed polymorph   390 meV/atom

Computed, not measured: a relaxed YCrMo2 crystal at the PBE level of DFT.

```
data_YCrMo2
_symmetry_space_group_name_H-M 'P 4/m m m'
_symmetry_Int_Tables_number 123
_symmetry_space_group_name_Hall '-P 4 2'
_cell_length_a 3.0867
_cell_length_b 3.0867
_cell_length_c 7.4000
_cell_angle_alpha 90.00
_cell_angle_beta 90.00
_cell_angle_gamma 90.00
loop_
_atom_site_label
_atom_site_type_symbol
_atom_site_fract_x
_atom_site_fract_y
_atom_site_fract_z
_atom_site_occupancy
Y1 Y 0.0000 0.0000 0.0000 1
Cr1 Cr 0.0000 0.0000 0.5000 1
Mo1 Mo 0.5000 0.5000 0.3083 1
```

ΔE to the lowest computed polymorph   30 meV/atom

Computed, not measured: a relaxed YCrMo crystal at the PBE level of DFT.

```
data_YCrMo
_symmetry_space_group_name_H-M 'P 3 m 1'
_symmetry_Int_Tables_number 156
_cell_length_a 3.1843
_cell_length_b 3.1843
_cell_length_c 6.5251
_cell_angle_alpha 90.00
_cell_angle_beta 90.00
_cell_angle_gamma 120.00
loop_
_symmetry_equiv_pos_as_xyz
'x,y,z'
'-y,x-y,z'
'-x+y,-x,z'
'-y,-x,z'
'-x+y,y,z'
'x,x-y,z'
loop_
_atom_site_label
_atom_site_type_symbol
_atom_site_fract_x
_atom_site_fract_y
_atom_site_fract_z
_atom_site_occupancy
Y1 Y 0.0000 0.0000 0.0000 1
Cr1 Cr 0.6667 0.3333 0.3697 1
Mo1 Mo 0.3333 0.6667 0.6069 1
```

ΔE to the lowest computed polymorph   264 meV/atom